# 1
This record from Alexandria describes crystalline Ca4MgCd at its relaxed geometry. The functional is PBE.

a b c (Å): 3.8716 3.8716 13.4968
angles (deg): 90.00 90.00 90.00
Last column: nearest neighbours and their distance in Å.
Element x y z (fractional)
Ca 0.0000 0.0000 0.1386  4 Cd 3.32
Ca 0.0000 0.0000 0.8614  4 Cd 3.32
Ca 0.5000 0.5000 0.3482  4 Mg 3.42
Ca 0.5000 0.5000 0.6518  4 Mg 3.42
Mg 0.0000 0.0000 0.5000  8 Ca 3.42
Cd 0.5000 0.5000 0.0000  8 Ca 3.32

Values from the calculation:
Symmetry: P4/mmm
Formation energy (eV per atom): -0.150
N(E_F) (states/eV/f.u.): 5.1
Polymorph energy (0 for the lowest one) (eV/atom): 0.000

# 2
This record from Alexandria describes crystalline Ac6PmTl2 at its relaxed geometry. The functional is PBE.

a b c (Å): 10.5341 10.5341 6.6692
angles (deg): 94.56 94.56 73.36
Last column: nearest neighbours and their distance in Å.
Element x y z (fractional)
Ac 0.0650 0.8198 0.9903  3 Tl 3.45-3.68, 4 Ac 3.64-3.80
Ac 0.1434 0.4015 0.1709  3 Tl 3.52-3.72, 5 Ac 3.68-3.91, 1 Pm 3.84
Ac 0.1802 0.9350 0.5097  3 Tl 3.45-3.68, 4 Ac 3.64-3.80
Ac 0.2433 0.5255 0.6860  2 Tl 3.51-3.78, 5 Ac 3.68-3.92, 2 Pm 3.68-3.70
Ac 0.4015 0.1434 0.6709  3 Tl 3.52-3.72, 5 Ac 3.68-3.91, 1 Pm 3.84
Ac 0.4745 0.7567 0.8140  2 Tl 3.51-3.78, 5 Ac 3.68-3.92, 2 Pm 3.68-3.70
Ac 0.5255 0.2433 0.1860  2 Tl 3.51-3.78, 5 Ac 3.68-3.92, 2 Pm 3.68-3.70
Ac 0.5985 0.8566 0.3291  3 Tl 3.52-3.72, 5 Ac 3.68-3.91, 1 Pm 3.84
Ac 0.7567 0.4745 0.3140  2 Tl 3.51-3.78, 5 Ac 3.68-3.92, 2 Pm 3.68-3.70
Ac 0.8198 0.0650 0.4903  3 Tl 3.45-3.68, 4 Ac 3.64-3.80
Ac 0.8566 0.5985 0.8291  3 Tl 3.52-3.72, 5 Ac 3.68-3.91, 1 Pm 3.84
Ac 0.9350 0.1802 0.0097  3 Tl 3.45-3.68, 4 Ac 3.64-3.80
Pm 0.3917 0.6083 0.2500  10 Ac 3.68-4.08
Pm 0.6083 0.3917 0.7500  10 Ac 3.68-4.08
Tl 0.0361 0.2851 0.5882  8 Ac 3.45-3.78
Tl 0.2851 0.0361 0.0882  8 Ac 3.45-3.78
Tl 0.7149 0.9639 0.9118  8 Ac 3.45-3.78
Tl 0.9639 0.7149 0.4118  8 Ac 3.45-3.78

Values from the calculation:
Symmetry: C2/c
Formation energy (eV per atom): -0.077
N(E_F) (states/eV/f.u.): 12.7
Polymorph energy (0 for the lowest one) (eV/atom): 0.062

Copy entry 2 word for word.
This record from Alexandria describes crystalline Ac6PmTl2 at its relaxed geometry. The functional is PBE.

a b c (Å): 10.5341 10.5341 6.6692
angles (deg): 94.56 94.56 73.36
Last column: nearest neighbours and their distance in Å.
Element x y z (fractional)
Ac 0.0650 0.8198 0.9903  3 Tl 3.45-3.68, 4 Ac 3.64-3.80
Ac 0.1434 0.4015 0.1709  3 Tl 3.52-3.72, 5 Ac 3.68-3.91, 1 Pm 3.84
Ac 0.1802 0.9350 0.5097  3 Tl 3.45-3.68, 4 Ac 3.64-3.80
Ac 0.2433 0.5255 0.6860  2 Tl 3.51-3.78, 5 Ac 3.68-3.92, 2 Pm 3.68-3.70
Ac 0.4015 0.1434 0.6709  3 Tl 3.52-3.72, 5 Ac 3.68-3.91, 1 Pm 3.84
Ac 0.4745 0.7567 0.8140  2 Tl 3.51-3.78, 5 Ac 3.68-3.92, 2 Pm 3.68-3.70
Ac 0.5255 0.2433 0.1860  2 Tl 3.51-3.78, 5 Ac 3.68-3.92, 2 Pm 3.68-3.70
Ac 0.5985 0.8566 0.3291  3 Tl 3.52-3.72, 5 Ac 3.68-3.91, 1 Pm 3.84
Ac 0.7567 0.4745 0.3140  2 Tl 3.51-3.78, 5 Ac 3.68-3.92, 2 Pm 3.68-3.70
Ac 0.8198 0.0650 0.4903  3 Tl 3.45-3.68, 4 Ac 3.64-3.80
Ac 0.8566 0.5985 0.8291  3 Tl 3.52-3.72, 5 Ac 3.68-3.91, 1 Pm 3.84
Ac 0.9350 0.1802 0.0097  3 Tl 3.45-3.68, 4 Ac 3.64-3.80
Pm 0.3917 0.6083 0.2500  10 Ac 3.68-4.08
Pm 0.6083 0.3917 0.7500  10 Ac 3.68-4.08
Tl 0.0361 0.2851 0.5882  8 Ac 3.45-3.78
Tl 0.2851 0.0361 0.0882  8 Ac 3.45-3.78
Tl 0.7149 0.9639 0.9118  8 Ac 3.45-3.78
Tl 0.9639 0.7149 0.4118  8 Ac 3.45-3.78

Values from the calculation:
Symmetry: C2/c
Formation energy (eV per atom): -0.077
N(E_F) (states/eV/f.u.): 12.7
Polymorph energy (0 for the lowest one) (eV/atom): 0.062